[1]
Compound: Pm2Nd3Ag2
Source: the Alexandria database
Functional: PBE
Structure: relaxed

Geometry as POSCAR:
```
Pm2Nd3Ag2
1.0
13.145 0.000 0.000
0.000 3.848 0.000
-4.098 0.000 8.540
Pm Nd Ag
4 6 4
Cartesian
0.671 0.000 2.680
1.803 1.924 5.860
7.244 1.924 2.680
8.375 0.000 5.860
-2.049 1.924 4.270
-2.415 1.924 8.080
4.890 0.000 0.460
4.523 0.000 4.270
4.157 0.000 8.080
11.462 1.924 0.460
-0.717 0.000 6.201
3.192 1.924 2.339
5.855 1.924 6.201
9.764 0.000 2.339
```

The calculation puts the total energy at -4.328 eV/atom. The formation energy from the elements comes out at -0.1125 eV/atom. The volume comes out at 30.9 Å³ per atom. Its calculated density is 7.22 g/cm³. The energy relative to the lowest polymorph listed for this composition is 0.0 meV per atom.

[2]
Compound: Pm4Nd3Ag
Source: the Alexandria database
Functional: PBE
Structure: relaxed

Geometry as POSCAR:
```
Pm4Nd3Ag
1.0
3.675 0.000 0.000
0.000 3.675 0.000
0.000 0.000 19.417
Pm Nd Ag
4 3 1
Cartesian
0.000 0.000 1.930
0.000 0.000 7.112
0.000 0.000 12.305
0.000 0.000 17.487
1.838 1.838 4.533
1.838 1.838 9.708
1.838 1.838 14.884
1.838 1.838 0.000
```

The calculation puts the total energy at -4.569 eV/atom. The formation energy from the elements comes out at -0.0490 eV/atom. The volume comes out at 32.8 Å³ per atom. Its calculated density is 7.09 g/cm³.

[3]
Compound: Pm3NdAg2
Source: the Alexandria database
Functional: PBE
Structure: relaxed

Geometry as POSCAR:
```
Pm3NdAg2
1.0
3.716 0.000 0.000
0.000 3.716 0.000
0.000 0.000 12.629
Pm Nd Ag
3 1 2
Cartesian
0.000 0.000 0.000
0.000 0.000 3.743
0.000 0.000 8.887
1.858 1.858 6.315
1.858 1.858 1.884
1.858 1.858 10.745
```

The calculation puts the total energy at -4.286 eV/atom. The formation energy from the elements comes out at -0.1655 eV/atom. The volume comes out at 29.1 Å³ per atom. Its calculated density is 7.57 g/cm³.

[4]
Compound: Pm4Nd5Ag
Source: the Alexandria database
Functional: PBE
Structure: relaxed

Geometry as POSCAR:
```
Pm4Nd5Ag
1.0
3.678 0.000 0.000
0.000 3.678 0.000
0.000 0.000 24.636
Pm Nd Ag
4 5 1
Cartesian
0.000 0.000 2.593
0.000 0.000 7.753
0.000 0.000 16.882
0.000 0.000 22.043
1.839 1.839 0.000
1.839 1.839 5.191
1.839 1.839 10.355
1.839 1.839 14.280
1.839 1.839 19.444
0.000 0.000 12.318
```

The calculation puts the total energy at -4.605 eV/atom. The formation energy from the elements comes out at -0.0356 eV/atom. The volume comes out at 33.3 Å³ per atom. Its calculated density is 7.02 g/cm³.

[5]
Compound: PmNdAg
Source: the Alexandria database
Functional: PBE
Structure: relaxed

Geometry as POSCAR:
```
PmNdAg
1.0
4.758 0.000 0.000
0.000 4.758 0.000
0.000 0.000 7.951
Pm Nd Ag
2 2 2
Cartesian
1.190 1.190 1.049
3.569 3.569 6.901
1.190 3.569 3.975
3.569 1.190 3.975
1.190 1.190 6.071
3.569 3.569 1.880
```

The calculation puts the total energy at -4.193 eV/atom. The formation energy from the elements comes out at -0.0701 eV/atom. The volume comes out at 30.0 Å³ per atom. Its calculated density is 7.33 g/cm³. The energy relative to the lowest polymorph listed for this composition is 86.9 meV per atom.

[6]
Compound: PmNd2Ag
Source: the Alexandria database
Functional: PBE
Structure: relaxed

Geometry as POSCAR:
```
PmNd2Ag
1.0
7.092 0.000 0.000
0.000 10.607 0.000
0.000 0.000 6.651
Pm Nd Ag
4 8 4
Cartesian
0.073 2.652 0.854
3.473 7.955 4.180
3.619 2.652 2.471
7.019 7.955 5.796
1.385 0.462 4.457
1.385 4.842 4.457
2.161 5.765 1.131
2.161 10.145 1.131
4.931 0.462 5.519
4.931 4.842 5.519
5.707 5.765 2.194
5.707 10.145 2.194
0.705 7.955 2.788
2.841 2.652 6.113
4.251 7.955 0.537
6.387 2.652 3.863
```

The calculation puts the total energy at -4.370 eV/atom. The formation energy from the elements comes out at -0.0860 eV/atom. The volume comes out at 31.3 Å³ per atom. Its calculated density is 7.19 g/cm³. The energy relative to the lowest polymorph listed for this composition is 18.0 meV per atom.